Entry 1:
An optimized crystal structure of SmI3, computed with GGA-PBEsol.

Computed properties:
* crystal system: hexagonal
* E_form (uncorrected): -1.33 eV/atom
* calculated total energy: -3.93 eV/atom

Cell: 10.6715 10.6715 4.0092 Å, 90.00 90.00 120.00°
Space group P6_3/mmc (No. 194)
One atom of each set of equivalent atoms:
Sm 0.3333 0.6667 0.2500 (multiplicity 2)
I 0.2076 0.4152 0.7500 (multiplicity 6)

---

Entry 2:
An optimized crystal structure of SnI4, computed with GGA-PBEsol.

Computed properties:
* crystal system: cubic
* E_form (uncorrected): -0.26 eV/atom
* calculated total energy: -2.52 eV/atom

Cell: 6.078 6.078 6.078 Å, 90.00 90.00 90.00°
Space group P-43m (No. 215)
One atom of each set of equivalent atoms:
Sn 0.000 0.000 0.000 (multiplicity 1)
I 0.255 0.255 0.255 (multiplicity 4)

---

Entry 3:
An optimized crystal structure of SnI2, computed with GGA-PBEsol.

Computed properties:
* crystal system: tetragonal
* E_form (uncorrected): -0.44 eV/atom
* calculated total energy: -3.03 eV/atom

Cell: 7.488 7.488 4.531 Å, 90.00 90.00 90.00°
Space group P4_2/mnm (No. 136)
One atom of each set of equivalent atoms:
Sn 0.000 0.000 0.000 (multiplicity 2)
I 0.204 0.204 0.500 (multiplicity 4)

---

Entry 4:
An optimized crystal structure of SnI3, computed with GGA-PBEsol.

Computed properties:
* crystal system: cubic
* E_form (uncorrected): -0.19 eV/atom
* calculated total energy: -2.58 eV/atom

Cell: 5.900 5.900 5.900 Å, 90.00 90.00 90.00°
Space group Pm-3m (No. 221)
One atom of each set of equivalent atoms:
Sn 0.000 0.000 0.000 (multiplicity 1)
I 0.000 0.000 0.500 (multiplicity 3)